Material: TaBiBr2
Method: DFT, SCAN
State: single point on PBEsol structure

The uncorrected energy comes out at -721.9 eV/cell. The value obtained for the uncorrected formation energy is 3.612 eV per formula unit.

The space group is Fm-3m (No. 225) and the conventional cell measures 7.006, 7.006 and 7.006 Å, with angles of 90.00, 90.00 and 90.00 degrees. The inequivalent atoms are Ta at (0.000, 0.000, 0.000), Bi at (0.000, 0.000, 0.500) and Br at (0.250, 0.250, 0.250).



Material: Tc3BiBr
Method: DFT, SCAN
State: single point on PBEsol structure

The uncorrected energy comes out at -194.9 eV/cell. The value obtained for the uncorrected formation energy is 8.300 eV per formula unit.

The space group is Pm-3m (No. 221) and the conventional cell measures 4.579, 4.579 and 4.579 Å, with angles of 90.00, 90.00 and 90.00 degrees. The inequivalent atoms are Tc at (0.000, 0.000, 0.500), Bi at (0.500, 0.500, 0.500) and Br at (0.000, 0.000, 0.000).



Material: Bi3TeBr
Method: DFT, SCAN
State: single point on PBEsol structure

The uncorrected energy comes out at -287.6 eV/cell. The value obtained for the uncorrected formation energy is 4.812 eV per formula unit.

The space group is Pm-3m (No. 221) and the conventional cell measures 5.605, 5.605 and 5.605 Å, with angles of 90.00, 90.00 and 90.00 degrees. The inequivalent atoms are Bi at (0.000, 0.000, 0.500), Te at (0.500, 0.500, 0.500) and Br at (0.000, 0.000, 0.000).



Material: BiTe2Br
Method: DFT, SCAN
State: single point on PBEsol structure

The uncorrected energy comes out at -687.2 eV/cell. The calculation puts the energy above the most stable polymorph in this dataset at 100 kJ/mol of formula units. The value obtained for the uncorrected formation energy is 0.751 eV per formula unit.

The space group is Fm-3m (No. 225) and the conventional cell measures 7.586, 7.586 and 7.586 Å, with angles of 90.00, 90.00 and 90.00 degrees. The inequivalent atoms are Bi at (0.000, 0.000, 0.000), Te at (0.250, 0.250, 0.250) and Br at (0.000, 0.000, 0.500).



Material: BiTeBr3
Method: DFT, SCAN
State: single point on PBEsol structure

The uncorrected energy comes out at -173.1 eV/cell. The value obtained for the uncorrected formation energy is 1.120 eV per formula unit.

The space group is Pm-3m (No. 221) and the conventional cell measures 5.608, 5.608 and 5.608 Å, with angles of 90.00, 90.00 and 90.00 degrees. The inequivalent atoms are Bi at (0.000, 0.000, 0.000), Te at (0.500, 0.500, 0.500) and Br at (0.000, 0.500, 0.500).



Material: BiTe2Br
Method: DFT, SCAN
State: single point on PBEsol structure

The uncorrected energy comes out at -518.5 eV/cell. The calculation puts the energy above the most stable polymorph in this dataset at 0 kJ/mol of formula units. The value obtained for the uncorrected formation energy is -0.283 eV per formula unit.

The space group is R-3m (No. 166, hexagonal axes) and the conventional cell measures 4.5152, 4.5152 and 26.7982 Å, with angles of 90.00, 90.00 and 120.00 degrees. The inequivalent atoms are Bi at (0.0000, 0.0000, 0.0000), Te at (0.0000, 0.0000, 0.3976) and Br at (0.0000, 0.0000, 0.5000).



Material: BiTeBr2
Method: DFT, SCAN
State: single point on PBEsol structure

The uncorrected energy comes out at -620.0 eV/cell. The value obtained for the uncorrected formation energy is -0.240 eV per formula unit.

The space group is I-42d (No. 122) and the conventional cell measures 9.651, 9.651 and 6.067 Å, with angles of 90.00, 90.00 and 90.00 degrees. The inequivalent atoms are Bi at (0.000, 0.000, 0.000), Te at (0.000, 0.000, 0.500) and Br at (0.147, 0.250, 0.125).



Material: TiBi3Br
Method: DFT, SCAN
State: single point on PBEsol structure

The uncorrected energy comes out at -265.8 eV/cell. The value obtained for the uncorrected formation energy is 5.443 eV per formula unit.

The space group is Pm-3m (No. 221) and the conventional cell measures 5.517, 5.517 and 5.517 Å, with angles of 90.00, 90.00 and 90.00 degrees. The inequivalent atoms are Ti at (0.000, 0.000, 0.000), Bi at (0.000, 0.500, 0.500) and Br at (0.500, 0.500, 0.500).



Material: Bi2W2Br
Method: DFT, SCAN
State: single point on PBEsol structure

The uncorrected energy comes out at -627.6 eV/cell. The value obtained for the uncorrected formation energy is 2.183 eV per formula unit.

The space group is I4/mmm (No. 139) and the conventional cell measures 3.653, 3.653 and 18.328 Å, with angles of 90.00, 90.00 and 90.00 degrees. The inequivalent atoms are Bi at (0.000, 0.000, 0.119), W at (0.000, 0.500, 0.250) and Br at (0.000, 0.000, 0.500).



Material: ZrBiBr3
Method: DFT, SCAN
State: single point on PBEsol structure

The uncorrected energy comes out at -166.0 eV/cell. The value obtained for the uncorrected formation energy is 1.609 eV per formula unit.

The space group is Pm-3m (No. 221) and the conventional cell measures 5.696, 5.696 and 5.696 Å, with angles of 90.00, 90.00 and 90.00 degrees. The inequivalent atoms are Zr at (0.000, 0.000, 0.000), Bi at (0.500, 0.500, 0.500) and Br at (0.000, 0.500, 0.500).



Material: Zr3Bi10Br18
Method: DFT, SCAN
State: single point on PBEsol structure

The uncorrected energy comes out at -2508.5 eV/cell. The value obtained for the uncorrected formation energy is -26.073 eV per formula unit.

The space group is P6_3 (No. 173) and the conventional cell measures 14.3303, 14.3303 and 11.0483 Å, with angles of 90.00, 90.00 and 120.00 degrees. The inequivalent atoms are Zr at (0.1024, 0.7734, 0.0000), Bi at (0.0000, 0.0000, 0.2514), Bi at (0.1189, 0.6039, 0.5003), Bi at (0.2310, 0.5211, 0.3236), Bi at (0.2310, 0.5211, 0.6774), Br at (0.0590, 0.6274, 0.8278), Br at (0.0597, 0.6273, 0.1716), Br at (0.0785, 0.2303, 0.8352), Br at (0.0787, 0.2308, 0.1646), Br at (0.0984, 0.2821, 0.5001) and Br at (0.1846, 0.4860, 0.9986).



Material: CaBiCO4F
Method: DFT, SCAN
State: single point on PBEsol structure

The uncorrected energy comes out at -578.9 eV/cell. The value obtained for the uncorrected formation energy is -17.920 eV per formula unit.

The space group is Pcca (No. 54) and the conventional cell measures 5.326, 13.580 and 5.331 Å, with angles of 90.00, 90.00 and 90.00 degrees. The inequivalent atoms are Ca at (0.000, 0.100, 0.250), Bi at (0.000, 0.405, 0.250), C at (0.000, 0.244, 0.750), O at (0.000, 0.342, 0.750), O at (0.150, 0.199, 0.601), O at (0.250, 0.500, 0.498) and F at (0.250, 0.000, 0.488).